Version one
Computed, not measured: CdTe2Cl after structural relaxation at the PBE level of DFT.

a b c (Å): 4.2608 4.2608 9.4421
angles (deg): 90.00 90.00 126.19
With the nearest neighbours (Å) after each atom.
Element x y z (fractional)
1 Cl 0.5000 0.5000 0.6846  2 Cd 2.57
2 Te 0.0000 0.0000 0.0436  2 Te 2.86
3 Te 0.5000 0.5000 0.2676  2 Te 2.86, 2 Cd 2.95
4 Cd 0.0000 0.0000 0.5043  2 Cl 2.57

crystal system = orthorhombic
D(E_F) = 0.591 states/eV per cell

Version two
Computed, not measured: CdTe2Cl after structural relaxation at the PBE level of DFT.

a b c (Å): 6.9083 6.9083 6.9083
angles (deg): 148.38 140.63 51.35
With the nearest neighbours (Å) after each atom.
Element x y z (fractional)
1 Cl 0.2500 0.7500 0.5000  4 Cd 2.99
2 Te 0.9658 0.9658 0.0000  4 Te 3.11, 2 Cd 3.28
3 Te 0.5342 0.5342 0.0000  4 Te 3.11, 2 Cd 3.28
4 Cd 0.7500 0.2500 0.5000  4 Cl 2.99, 4 Te 3.28

crystal system = orthorhombic
D(E_F) = 1.738 states/eV per cell

Version three
Computed, not measured: CdTe2Cl after structural relaxation at the PBE level of DFT.

a b c (Å): 4.1878 4.1995 7.0177
angles (deg): 90.00 90.00 90.00
With the nearest neighbours (Å) after each atom.
Element x y z (fractional)
1 Cl 0.0000 0.5000 0.5000  4 Cd 2.97
2 Te 0.0000 0.0000 0.0000  4 Te 2.97
3 Te 0.5000 0.5000 0.0000  4 Te 2.97
4 Cd 0.5000 0.0000 0.5000  4 Cl 2.97

crystal system = orthorhombic
D(E_F) = 2.755 states/eV per cell

version three is the least stable structure shown above.